<A>
Below is a geometry-optimized HPd3Pb structure, with properties calculated at the PBE-GGA level.

Structure (extended XYZ):
```
10
Lattice="4.949 -2.903 0.000 4.949 2.903 0.000 -4.615 0.000 5.079" Properties=species:S:1:pos:R:3 pbc="T T T"
H 0.000 0.000 0.000
H 2.327 0.000 3.158
Pd 3.895 1.474 0.850
Pd 1.665 1.488 4.100
Pd 1.480 0.000 1.522
Pd 3.895 -1.474 0.850
Pd 4.140 0.000 3.384
Pd 1.665 -1.488 4.100
Pb -0.791 0.000 3.452
Pb 6.327 0.000 1.484
```

- DOS at the Fermi energy: 0.346 states/eV/atom
- Density: 12.0 g/cm3
- Symmetry: No. 8

---

<B>
Below is a geometry-optimized HPd3Pb structure, with properties calculated at the PBE-GGA level.

Structure (extended XYZ):
```
10
Lattice="5.051 0.000 0.000 0.000 5.780 0.000 -2.202 0.000 5.049" Properties=species:S:1:pos:R:3 pbc="T T T"
H -0.821 1.445 2.003
H 3.669 4.335 3.047
Pd -0.496 0.023 3.823
Pd -0.496 2.867 3.823
Pd 0.877 1.445 1.383
Pd 1.972 4.335 3.667
Pd 3.345 2.913 1.226
Pd 3.345 5.757 1.226
Pb 0.817 4.335 1.078
Pb 2.032 1.445 3.971
```

- DOS at the Fermi energy: 0.290 states/eV/atom
- Density: 11.9 g/cm3
- Symmetry: No. 11

---

What should be chosen as the least stable of them? Choose <B>.